{
  "formula": "Zn2Cd4Au3",
  "functional": "PBE-GGA",
  "state": "relaxed",
  "dos_ef_per_ev_atom": 0.250,
  "formation_energy_ev_per_atom": -0.11,
  "rho_g_cm3": 11.49,
  "space_group": "C2/m (12)",
  "final_energy_ev_per_fu": -17.00,
  "lattice_angstrom": [[3.8655, 0.0000, -1.0658], [-0.5607, 6.5376, -2.0334], [-0.1910, -0.2922, 6.8499]],
  "species": ["Au", "Au", "Au", "Zn", "Zn", "Cd", "Cd", "Cd", "Cd"],
  "fractional_positions": [[0.1317, 0.2075, 0.2635], [0.8683, 0.7925, 0.7365], [0.0000, 0.5000, 0.0000], [0.3399, 0.5031, 0.6797], [0.6601, 0.4969, 0.3203], [0.7831, 0.1768, 0.5662], [0.5467, 0.8378, 0.0934], [0.2169, 0.8232, 0.4338], [0.4533, 0.1622, 0.9066]]
}